Below is a geometry-optimized ZrHg2GeB structure, with properties calculated at the PBE-GGA level.

Geometry as CIF:
```
data_ZrHg2GeB
_chemical_formula_sum 'Zr1 Hg2 Ge1 B1'
_space_group_name_H-M_alt 'P 4/m m m'
_space_group_IT_number 123
_space_group_name_Hall '-P 4 2'
_cell_length_a 4.978
_cell_length_b 4.978
_cell_length_c 5.224
_cell_angle_alpha 90.00
_cell_angle_beta 90.00
_cell_angle_gamma 90.00
loop_
_atom_site_label
_atom_site_type_symbol
_atom_site_fract_x
_atom_site_fract_y
_atom_site_fract_z
Zr1 Zr 0.000 0.000 0.000
Hg1 Hg 0.000 0.500 0.500
Ge1 Ge 0.000 0.000 0.500
B1 B 0.500 0.500 0.000
```

Calculated values
**Total energy**: -2.796 eV/atom
**Energy relative to the elements**: 1.293 eV/atom
**Fermi-level density of states**: 2.552 states/eV/f.u.

Below is a geometry-optimized Ho3Ni9GeB2 structure, with properties calculated at the PBE-GGA level.

Geometry as CIF:
```
data_Ho3Ni9GeB2
_chemical_formula_sum 'Ho3 Ni9 Ge1 B2'
_space_group_name_H-M_alt 'P -3 m 1'
_space_group_IT_number 164
_space_group_name_Hall '-P 3 2"'
_cell_length_a 5.3911
_cell_length_b 5.3911
_cell_length_c 8.3119
_cell_angle_alpha 90.00
_cell_angle_beta 90.00
_cell_angle_gamma 120.00
loop_
_atom_site_label
_atom_site_type_symbol
_atom_site_fract_x
_atom_site_fract_y
_atom_site_fract_z
Ho1 Ho 0.0000 0.0000 0.0000
Ho2 Ho 0.3333 0.6667 0.6279
Ni1 Ni 0.0000 0.5000 0.0000
Ni2 Ni 0.1662 0.3324 0.2803
Ge1 Ge 0.0000 0.0000 0.5000
B1 B 0.3333 0.6667 0.1444
```

Calculated values
**Total energy**: -6.024 eV/atom
**Energy relative to the elements**: -0.442 eV/atom
**Fermi-level density of states**: 6.442 states/eV/f.u.

Below is a geometry-optimized Ho3GeB2Pt9 structure, with properties calculated at the PBE-GGA level.

Geometry as CIF:
```
data_Ho3GeB2Pt9
_chemical_formula_sum 'Ho3 Ge1 B2 Pt9'
_space_group_name_H-M_alt 'P -3 m 1'
_space_group_IT_number 164
_space_group_name_Hall '-P 3 2"'
_cell_length_a 5.7256
_cell_length_b 5.7256
_cell_length_c 9.1909
_cell_angle_alpha 90.00
_cell_angle_beta 90.00
_cell_angle_gamma 120.00
loop_
_atom_site_label
_atom_site_type_symbol
_atom_site_fract_x
_atom_site_fract_y
_atom_site_fract_z
Ho1 Ho 0.0000 0.0000 0.0000
Ho2 Ho 0.3333 0.6667 0.6027
Ge1 Ge 0.0000 0.0000 0.5000
B1 B 0.3333 0.6667 0.1494
Pt1 Pt 0.0000 0.5000 0.0000
Pt2 Pt 0.1655 0.3310 0.2905
```

Calculated values
**Total energy**: -6.585 eV/atom
**Energy relative to the elements**: -0.847 eV/atom
**Fermi-level density of states**: 5.068 states/eV/f.u.

Below is a geometry-optimized Ho2GeB2Rh5 structure, with properties calculated at the PBE-GGA level.

Geometry as CIF:
```
data_Ho2GeB2Rh5
_chemical_formula_sum 'Ho4 Ge2 B4 Rh10'
_space_group_name_H-M_alt 'P 4/m b m'
_space_group_IT_number 127
_space_group_name_Hall '-P 4 2ab'
_cell_length_a 9.387
_cell_length_b 9.387
_cell_length_c 3.249
_cell_angle_alpha 90.00
_cell_angle_beta 90.00
_cell_angle_gamma 90.00
loop_
_atom_site_label
_atom_site_type_symbol
_atom_site_fract_x
_atom_site_fract_y
_atom_site_fract_z
Ho1 Ho 0.175 0.325 0.000
Ge1 Ge 0.000 0.000 0.000
B1 B 0.121 0.621 0.000
Rh1 Rh 0.000 0.500 0.500
Rh2 Rh 0.070 0.783 0.500
```

Calculated values
**Total energy**: -7.215 eV/atom
**Energy relative to the elements**: -0.826 eV/atom
**Fermi-level density of states**: 2.610 states/eV/f.u.

Below is a geometry-optimized Ho2GeBRh6 structure, with properties calculated at the PBE-GGA level.

Geometry as CIF:
```
data_Ho2GeBRh6
_chemical_formula_sum 'Ho8 Ge4 B4 Rh24'
_space_group_name_H-M_alt 'F m -3 m'
_space_group_IT_number 225
_space_group_name_Hall '-F 4 2 3'
_cell_length_a 8.749
_cell_length_b 8.749
_cell_length_c 8.749
_cell_angle_alpha 90.00
_cell_angle_beta 90.00
_cell_angle_gamma 90.00
loop_
_atom_site_label
_atom_site_type_symbol
_atom_site_fract_x
_atom_site_fract_y
_atom_site_fract_z
Ho1 Ho 0.250 0.250 0.250
Ge1 Ge 0.000 0.000 0.000
B1 B 0.000 0.000 0.500
Rh1 Rh 0.000 0.000 0.266
```

Calculated values
**Total energy**: -7.094 eV/atom
**Energy relative to the elements**: -0.638 eV/atom
**Fermi-level density of states**: 8.150 states/eV/f.u.

Below is a geometry-optimized Ho4GeB3Rh12 structure, with properties calculated at the PBE-GGA level.

Geometry as CIF:
```
data_Ho4GeB3Rh12
_chemical_formula_sum 'Ho8 Ge2 B6 Rh24'
_space_group_name_H-M_alt 'I m -3 m'
_space_group_IT_number 229
_space_group_name_Hall '-I 4 2 3'
_cell_length_a 8.577
_cell_length_b 8.577
_cell_length_c 8.577
_cell_angle_alpha 90.00
_cell_angle_beta 90.00
_cell_angle_gamma 90.00
loop_
_atom_site_label
_atom_site_type_symbol
_atom_site_fract_x
_atom_site_fract_y
_atom_site_fract_z
Ho1 Ho 0.250 0.250 0.250
Ge1 Ge 0.000 0.000 0.000
B1 B 0.000 0.000 0.500
Rh1 Rh 0.000 0.000 0.269
Rh2 Rh 0.000 0.250 0.500
```

Calculated values
**Total energy**: -7.268 eV/atom
**Energy relative to the elements**: -0.709 eV/atom
**Fermi-level density of states**: 16.011 states/eV/f.u.

Below is a geometry-optimized Ho3GeB2Rh9 structure, with properties calculated at the PBE-GGA level.

Geometry as CIF:
```
data_Ho3GeB2Rh9
_chemical_formula_sum 'Ho3 Ge1 B2 Rh9'
_space_group_name_H-M_alt 'P -3 m 1'
_space_group_IT_number 164
_space_group_name_Hall '-P 3 2"'
_cell_length_a 6.0734
_cell_length_b 6.0734
_cell_length_c 7.5396
_cell_angle_alpha 90.00
_cell_angle_beta 90.00
_cell_angle_gamma 120.00
loop_
_atom_site_label
_atom_site_type_symbol
_atom_site_fract_x
_atom_site_fract_y
_atom_site_fract_z
Ho1 Ho 0.0000 0.0000 0.0000
Ho2 Ho 0.3333 0.6667 0.6646
Ge1 Ge 0.0000 0.0000 0.5000
B1 B 0.3333 0.6667 0.1463
Rh1 Rh 0.0000 0.5000 0.0000
Rh2 Rh 0.1770 0.3540 0.3129
```

Calculated values
**Total energy**: -7.226 eV/atom
**Energy relative to the elements**: -0.702 eV/atom
**Fermi-level density of states**: 11.875 states/eV/f.u.

Below is a geometry-optimized HoGe2BRu2 structure, with properties calculated at the PBE-GGA level.

Geometry as CIF:
```
data_HoGe2BRu2
_chemical_formula_sum 'Ho1 Ge2 B1 Ru2'
_space_group_name_H-M_alt 'P 4/m m m'
_space_group_IT_number 123
_space_group_name_Hall '-P 4 2'
_cell_length_a 4.158
_cell_length_b 4.158
_cell_length_c 5.464
_cell_angle_alpha 90.00
_cell_angle_beta 90.00
_cell_angle_gamma 90.00
loop_
_atom_site_label
_atom_site_type_symbol
_atom_site_fract_x
_atom_site_fract_y
_atom_site_fract_z
Ho1 Ho 0.000 0.000 0.000
Ge1 Ge 0.500 0.500 0.221
B1 B 0.000 0.000 0.500
Ru1 Ru 0.000 0.500 0.500
```

Calculated values
**Total energy**: -7.018 eV/atom
**Energy relative to the elements**: -0.511 eV/atom
**Fermi-level density of states**: 2.386 states/eV/f.u.

Below is a geometry-optimized GeBI2 structure, with properties calculated at the PBE-GGA level.

Geometry as CIF:
```
data_GeBI2
_chemical_formula_sum 'Ge4 B4 I8'
_space_group_name_H-M_alt 'I -4 2 d'
_space_group_IT_number 122
_space_group_name_Hall 'I -4 2bw'
_cell_length_a 7.657
_cell_length_b 7.657
_cell_length_c 7.619
_cell_angle_alpha 90.00
_cell_angle_beta 90.00
_cell_angle_gamma 90.00
loop_
_atom_site_label
_atom_site_type_symbol
_atom_site_fract_x
_atom_site_fract_y
_atom_site_fract_z
Ge1 Ge 0.000 0.000 0.000
B1 B 0.000 0.000 0.500
I1 I 0.221 0.250 0.625
```

Calculated values
**Total energy**: -2.529 eV/atom
**Formation energy (no corrections)**: 4.28 eV per formula unit
**Fermi-level density of states**: 1.864 states/eV/f.u.

Below is a geometry-optimized Ge3BI structure, with properties calculated at the PBE-GGA level.

Geometry as CIF:
```
data_Ge3BI
_chemical_formula_sum 'Ge3 B1 I1'
_space_group_name_H-M_alt 'P m -3 m'
_space_group_IT_number 221
_space_group_name_Hall '-P 4 2 3'
_cell_length_a 4.639
_cell_length_b 4.639
_cell_length_c 4.639
_cell_angle_alpha 90.00
_cell_angle_beta 90.00
_cell_angle_gamma 90.00
loop_
_atom_site_label
_atom_site_type_symbol
_atom_site_fract_x
_atom_site_fract_y
_atom_site_fract_z
Ge1 Ge 0.000 0.000 0.500
B1 B 0.000 0.000 0.000
I1 I 0.500 0.500 0.500
```

Calculated values
**Total energy**: -3.638 eV/atom
**Formation energy (no corrections)**: 3.89 eV per formula unit
**Fermi-level density of states**: 3.265 states/eV/f.u.